# 1
Material: Er3Ti5N12
Method: DFT, PBE
State: relaxed

The structure in POSCAR format:
```
Er3Ti5N12
1.0
-6.307 6.307 6.307
6.307 -6.307 6.307
6.307 6.307 -6.307
Er Ti N
12 20 48
Direct
0.125 0.250 0.375
0.125 0.375 0.750
0.250 0.375 0.125
0.250 0.875 0.625
0.375 0.125 0.250
0.375 0.750 0.125
0.625 0.250 0.875
0.625 0.875 0.750
0.750 0.125 0.375
0.750 0.625 0.875
0.875 0.625 0.250
0.875 0.750 0.625
0.000 0.000 0.000
0.000 0.000 0.500
0.000 0.500 0.000
0.000 0.500 0.500
0.125 0.750 0.875
0.125 0.875 0.250
0.250 0.125 0.875
0.250 0.625 0.375
0.375 0.250 0.625
0.375 0.625 0.750
0.500 0.000 0.000
0.500 0.000 0.500
0.500 0.500 0.000
0.500 0.500 0.500
0.625 0.375 0.250
0.625 0.750 0.375
0.750 0.375 0.625
0.750 0.875 0.125
0.875 0.125 0.750
0.875 0.250 0.125
0.030 0.209 0.121
0.030 0.321 0.909
0.088 0.709 0.679
0.088 0.879 0.409
0.091 0.621 0.412
0.091 0.970 0.679
0.121 0.030 0.209
0.121 0.591 0.912
0.179 0.209 0.588
0.179 0.470 0.591
0.209 0.121 0.030
0.209 0.588 0.179
0.291 0.321 0.912
0.291 0.470 0.379
0.321 0.909 0.030
0.321 0.912 0.291
0.379 0.291 0.470
0.379 0.588 0.909
0.409 0.088 0.879
0.409 0.821 0.530
0.412 0.091 0.621
0.412 0.821 0.791
0.470 0.379 0.291
0.470 0.591 0.179
0.530 0.409 0.821
0.530 0.621 0.709
0.588 0.179 0.209
0.588 0.909 0.379
0.591 0.179 0.470
0.591 0.912 0.121
0.621 0.412 0.091
0.621 0.709 0.530
0.679 0.088 0.709
0.679 0.091 0.970
0.709 0.530 0.621
0.709 0.679 0.088
0.791 0.412 0.821
0.791 0.879 0.970
0.821 0.530 0.409
0.821 0.791 0.412
0.879 0.409 0.088
0.879 0.970 0.791
0.909 0.030 0.321
0.909 0.379 0.588
0.912 0.121 0.591
0.912 0.291 0.321
0.970 0.679 0.091
0.970 0.791 0.879
```

## Properties
**Uncorrected formation energy**: -15.75 eV per formula unit
**M_tot**: 0.00 Bohr magnetons per cell
**Electronic total energy**: -8.441 eV/atom

# 2
Material: K3La3SnTe8
Method: DFT, PBE
State: relaxed

The structure in POSCAR format:
```
K3La3SnTe8
1.0
4.612 2.663 8.432
-4.612 2.663 8.432
0.000 -5.326 8.432
K La Sn Te
3 3 1 8
Direct
0.000 0.500 0.500
0.500 0.000 0.500
0.500 0.500 0.000
0.000 0.000 0.500
0.000 0.500 0.000
0.500 0.000 0.000
0.500 0.500 0.500
0.239 0.239 0.239
0.256 0.725 0.725
0.275 0.275 0.744
0.275 0.744 0.275
0.725 0.256 0.725
0.725 0.725 0.256
0.744 0.275 0.275
0.761 0.761 0.761
```

## Properties
**Uncorrected formation energy**: -17.51 eV per formula unit
**M_tot**: 0.00 Bohr magnetons per cell
**Electronic total energy**: -4.315 eV/atom

# 3
Material: Li6Sn2Bi
Method: DFT, PBE
State: relaxed

The structure in POSCAR format:
```
Li6Sn2Bi
1.0
3.905 -4.065 0.000
3.905 4.065 0.000
-0.426 0.000 5.547
Li Sn Bi
6 2 1
Direct
0.169 0.500 0.331
0.169 0.831 0.000
0.500 0.169 0.331
0.500 0.831 0.669
0.831 0.169 0.000
0.831 0.500 0.669
0.338 0.338 0.838
0.662 0.662 0.162
0.000 0.000 0.500
```

## Properties
**M_tot**: 0.00 Bohr magnetons per cell
**Energy of formation from the pure elements**: -0.3746 eV/atom
**Electronic total energy**: -2.971 eV/atom